The following is a DFT calculation (GGA-PBE) of crystalline PrNdDy5Ho2 at its relaxed geometry.

Results
total magnetization	0.00	μB per formula unit
theoretical density	7.96	g cm⁻³
formation energy	1.42	eV/f.u.

Cell: 5.624 10.304 10.681 Å, 90.00 90.00 105.84°
Sites, in units of the cell vectors:
Pr (0.797, 0.594, 0.511)
Pr (0.203, 0.406, 0.011)
Nd (0.583, 0.165, 0.951)
Nd (0.417, 0.835, 0.451)
Dy (0.393, 0.785, 0.024)
Dy (0.717, 0.435, 0.808)
Dy (0.478, 0.955, 0.736)
Dy (0.298, 0.597, 0.708)
Dy (0.982, 0.965, 0.528)
Dy (0.607, 0.215, 0.524)
Dy (0.283, 0.565, 0.308)
Dy (0.522, 0.045, 0.236)
Dy (0.702, 0.403, 0.208)
Dy (0.018, 0.035, 0.028)
Ho (0.886, 0.772, 0.821)
Ho (0.109, 0.219, 0.736)
Ho (0.114, 0.228, 0.321)
Ho (0.891, 0.781, 0.236)

The following is a DFT calculation (GGA-PBE) of crystalline PrNdDy2Ho5 at its relaxed geometry.

Results
total magnetization	0.00	μB per formula unit
theoretical density	8.11	g cm⁻³
formation energy	2.48	eV/f.u.

Cell: 8.862 8.862 9.759 Å, 117.00 117.00 90.00°
Sites, in units of the cell vectors:
Pr (0.250, 0.250, 0.500)
Pr (0.750, 0.750, 0.500)
Nd (0.250, 0.750, 0.500)
Nd (0.750, 0.250, 0.500)
Dy (0.115, 0.385, 0.000)
Dy (0.615, 0.115, 0.000)
Dy (0.385, 0.885, 0.000)
Dy (0.885, 0.615, 0.000)
Ho (0.928, 0.428, 0.264)
Ho (0.664, 0.164, 0.736)
Ho (0.072, 0.572, 0.736)
Ho (0.164, 0.072, 0.736)
Ho (0.572, 0.664, 0.736)
Ho (0.836, 0.928, 0.264)
Ho (0.428, 0.336, 0.264)
Ho (0.336, 0.836, 0.264)
Ho (0.500, 0.500, 0.000)
Ho (0.000, 0.000, 0.000)

The following is a DFT calculation (GGA-PBE) of crystalline Pr3NdDy6Ho2 at its relaxed geometry.

Results
total magnetization	0.00	μB per formula unit
theoretical density	7.91	g cm⁻³
formation energy	0.21	eV/f.u.

Cell: 6.230 6.230 11.873 Å, 95.00 95.00 119.98°
Sites, in units of the cell vectors:
Pr (0.167, 0.833, 0.500)
Pr (0.833, 0.167, 0.500)
Pr (0.500, 0.500, 0.500)
Nd (0.000, 0.000, 0.000)
Dy (0.917, 0.583, 0.753)
Dy (0.748, 0.748, 0.247)
Dy (0.083, 0.417, 0.247)
Dy (0.583, 0.917, 0.753)
Dy (0.252, 0.252, 0.753)
Dy (0.417, 0.083, 0.247)
Ho (0.333, 0.667, 0.000)
Ho (0.667, 0.333, 0.000)

The following is a DFT calculation (GGA-PBE) of crystalline Pr6NdDyHo2 at its relaxed geometry.

Results
total magnetization	0.00	μB per formula unit
theoretical density	7.05	g cm⁻³
formation energy	1.13	eV/f.u.

Cell: 9.766 9.004 9.004 Å, 117.21 93.90 93.90°
Sites, in units of the cell vectors:
Pr (0.055, 0.113, 0.759)
Pr (0.445, 0.241, 0.887)
Pr (0.945, 0.887, 0.241)
Pr (0.555, 0.759, 0.113)
Pr (0.313, 0.992, 0.437)
Pr (0.187, 0.563, 0.008)
Pr (0.687, 0.008, 0.563)
Pr (0.813, 0.437, 0.992)
Pr (0.118, 0.704, 0.487)
Pr (0.382, 0.513, 0.296)
Pr (0.882, 0.296, 0.513)
Pr (0.618, 0.487, 0.704)
Nd (0.250, 0.972, 0.028)
Nd (0.750, 0.028, 0.972)
Dy (0.250, 0.411, 0.589)
Dy (0.750, 0.589, 0.411)
Ho (0.452, 0.799, 0.703)
Ho (0.048, 0.297, 0.201)
Ho (0.548, 0.201, 0.297)
Ho (0.952, 0.703, 0.799)

Number 1: total energy -4.48 eV/atom. Number 2: total energy -4.35 eV/atom. Number 3: total energy -4.64 eV/atom. Number 4: total energy -4.61 eV/atom.